Entry 1:
# CoTcCl

A relaxed structure of CoTcCl (PBE, Alexandria).

Summary:
Total energy in eV/atom: -5.867

Lattice parameters (Å, degrees): 6.6190 6.2805 2.9111 83.55 70.54 25.91
Element x y z (fractional)
Co 0.0000 0.0000 0.0000
Tc 0.3420 0.3420 0.6580
Cl 0.6648 0.6648 0.3352



Entry 2:
# CoTc2Cl

A relaxed structure of CoTc2Cl (PBE, Alexandria).

Summary:
Total energy in eV/atom: -6.571

Lattice parameters (Å, degrees): 4.9293 4.9293 2.8532 103.31 103.31 114.83
Element x y z (fractional)
Co 0.0000 0.0000 0.0000
Tc 0.0000 0.5000 0.5000
Tc 0.5000 0.0000 0.5000
Cl 0.5000 0.5000 0.0000



Entry 3:
# CoTc4Cl

A relaxed structure of CoTc4Cl (PBE, Alexandria).

Summary:
Total energy in eV/atom: -7.365

Lattice parameters (Å, degrees): 5.1337 5.1337 5.1337 60.00 60.00 60.00
Element x y z (fractional)
Co 0.0000 0.0000 0.0000
Tc 0.1267 0.6244 0.6244
Tc 0.6244 0.1267 0.6244
Tc 0.6244 0.6244 0.1267
Tc 0.6244 0.6244 0.6244
Cl 0.2500 0.2500 0.2500



Question: Which formula does entry 3 have?
Answer: CoTc4Cl



Question: Which value of total energy does entry 2 give?
Answer: -6.571 eV/atom